AcEr6Tm12 | PBE | relaxed

The calculation puts the total energy at -4.059 eV/atom. As for the energy relative to the elements: 9.7 kcal/mol of atoms.

The space group is R-3m (No. 166, hexagonal axes) and the conventional cell measures 14.6514, 14.6514 and 10.3149 Å, with angles of 90.00, 90.00 and 120.00 degrees. Symmetry generates all atoms from Ac at (0.0000, 0.0000, 0.0000), Er at (0.0501, 0.5250, 0.2241), Tm at (0.0000, 0.3879, 0.5000) and Tm at (0.0755, 0.1511, 0.3006).

---

RbLi2ZnF6 | PBE | relaxed

The calculation puts the total energy at -4.120 eV/atom. The uncorrected formation energy is -2.39 eV/atom.

The space group is C2/c (No. 15) and the conventional cell measures 9.2051, 11.7274 and 6.9692 Å, with angles of 90.00, 118.83 and 90.00 degrees. Symmetry generates all atoms from Rb at (0.0000, 0.1191, 0.2500), Li at (0.1235, 0.4193, 0.1339), Zn at (0.0000, 0.1923, 0.7500), F at (0.0752, 0.2741, 0.0169), F at (0.1029, 0.4701, 0.4003) and F at (0.1447, 0.0815, 0.7171).

---

Mn2TcTe | PBE | relaxed

The calculation puts the total energy at -7.691 eV/atom. The uncorrected formation energy is 0.27 eV/atom.

The space group is Pmmm (No. 47) and the conventional cell measures 3.3414, 4.1994 and 4.3435 Å, with angles of 90.00, 90.00 and 90.00 degrees. Symmetry generates all atoms from Mn at (0.0000, 0.0000, 0.0000), Mn at (0.5000, 0.0000, 0.5000), Tc at (0.0000, 0.5000, 0.5000) and Te at (0.5000, 0.5000, 0.0000).

---

BaPdAu | PBE | relaxed

The calculation puts the total energy at -3.972 eV/atom. As for the energy relative to the elements: -11.7 kcal/mol of atoms. The offset from the most stable computed form comes out at 30 kJ/mol of formula units.

The space group is P2_13 (No. 198) and the conventional cell measures 7.0915, 7.0915 and 7.0915 Å, with angles of 90.00, 90.00 and 90.00 degrees. Symmetry generates all atoms from Ba at (0.1790, 0.1790, 0.1790), Pd at (0.0576, 0.5576, 0.9424) and Au at (0.1945, 0.3055, 0.6945).

---

MgBeAg | PBE | relaxed

The calculation puts the total energy at -2.449 eV/atom. As for the energy relative to the elements: 6.4 kcal/mol of atoms. The offset from the most stable computed form comes out at 55 kJ/mol of formula units.

The space group is F-43m (No. 216) and the conventional cell measures 5.9038, 5.9038 and 5.9038 Å, with angles of 90.00, 90.00 and 90.00 degrees. Symmetry generates all atoms from Mg at (0.0000, 0.0000, 0.0000), Be at (0.2500, 0.2500, 0.2500) and Ag at (0.0000, 0.0000, 0.5000).

---

CaPuGe2O8 | PBE | relaxed

The calculation puts the total energy at -7.468 eV/atom. The uncorrected formation energy is -2.03 eV/atom.

The space group is I-4m2 (No. 119) and the conventional cell measures 7.0640, 7.0640 and 6.4303 Å, with angles of 90.00, 90.00 and 90.00 degrees. Symmetry generates all atoms from Ca at (0.0000, 0.0000, 0.0000), Pu at (0.0000, 0.5000, 0.2500), Ge at (0.0000, 0.0000, 0.5000), Ge at (0.0000, 0.5000, 0.7500), O at (0.0000, 0.1960, 0.3266) and O at (0.0000, 0.3218, 0.9432).

---

BaCa2Pt | PBE | relaxed

The calculation puts the total energy at -3.466 eV/atom. As for the energy relative to the elements: -10.9 kcal/mol of atoms. The offset from the most stable computed form comes out at 34 kJ/mol of formula units.

The space group is R3m (No. 160, hexagonal axes) and the conventional cell measures 4.3125, 4.3125 and 29.3018 Å, with angles of 90.00, 90.00 and 120.00 degrees. Symmetry generates all atoms from Ba at (0.0000, 0.0000, 0.0000), Ca at (0.0000, 0.0000, 0.5466), Ca at (0.0000, 0.0000, 0.7818) and Pt at (0.0000, 0.0000, 0.1636).

---

YTm4Th2 | PBE | relaxed

The calculation puts the total energy at -5.572 eV/atom. As for the energy relative to the elements: 0.6 kcal/mol of atoms. The offset from the most stable computed form comes out at 0 kJ/mol of formula units.

The space group is C2/m (No. 12) and the conventional cell measures 15.3126, 3.5497 and 8.6534 Å, with angles of 90.00, 112.29 and 90.00 degrees. Symmetry generates all atoms from Y at (0.0000, 0.0000, 0.0000), Tm at (0.0747, 0.5000, 0.7155), Tm at (0.1447, 0.0000, 0.4297) and Th at (0.2161, 0.5000, 0.1425).

---

LiLaW2 | PBE | relaxed

The calculation puts the total energy at -7.522 eV/atom. As for the energy relative to the elements: 15.3 kcal/mol of atoms. The offset from the most stable computed form comes out at 83 kJ/mol of formula units.

The space group is P4mm (No. 99) and the conventional cell measures 2.7720, 2.7720 and 10.0925 Å, with angles of 90.00, 90.00 and 90.00 degrees. Symmetry generates all atoms from Li at (0.0000, 0.0000, 0.0000), La at (0.5000, 0.5000, 0.7020), W at (0.0000, 0.0000, 0.4353) and W at (0.5000, 0.5000, 0.2129).

---

Pm12YPb7 | PBE | relaxed

The calculation puts the total energy at -4.763 eV/atom. As for the energy relative to the elements: -6.7 kcal/mol of atoms.

The space group is R-3m (No. 166, hexagonal axes) and the conventional cell measures 15.8740, 15.8740 and 8.9333 Å, with angles of 90.00, 90.00 and 120.00 degrees. Symmetry generates all atoms from Pm at (0.0000, 0.2766, 0.0000), Pm at (0.1096, 0.5548, 0.0517), Y at (0.0000, 0.0000, 0.0000), Pb at (0.0000, 0.0000, 0.5000) and Pb at (0.1016, 0.2031, 0.7644).